VASP calculation (PBE) on a relaxed AcZn2Ge2 crystal.

abc: 6.485 6.485 6.485
angles: 140.97 140.97 56.38
Atoms (fractional coordinates):
1 Zn 0.250 0.750 0.500
2 Zn 0.750 0.250 0.500
3 Ge 0.620 0.620 0.000
4 Ge 0.380 0.380 0.000
5 Ac 0.000 0.000 0.000

The density is 7.788 Mg/m³. Its offset from the most stable computed form is 11 meV per atom. Its total magnetization is 0.000 μB/atom.